Version A
# Ta2TeI, relaxed, DFT PBE-GGA
data_Ta2TeI
_symmetry_space_group_name_H-M 'I -4 2 d'
_symmetry_Int_Tables_number 122
_symmetry_space_group_name_Hall 'I -4 2bw'
_cell_length_a 7.6465
_cell_length_b 7.6465
_cell_length_c 6.6622
_cell_angle_alpha 90.00
_cell_angle_beta 90.00
_cell_angle_gamma 90.00
loop_
_atom_site_label
_atom_site_type_symbol
_atom_site_fract_x
_atom_site_fract_y
_atom_site_fract_z
_atom_site_occupancy
Ta1 Ta 0.2372 0.7500 0.1250 1
Te1 Te 0.0000 0.0000 0.0000 1
I1 I 0.0000 0.0000 0.5000 1
# - crystal system = tetragonal

=====

Version B
# Ta2TeI, relaxed, DFT PBE-GGA
data_Ta2TeI
_symmetry_space_group_name_H-M 'F m -3 m'
_symmetry_Int_Tables_number 225
_symmetry_space_group_name_Hall '-F 4 2 3'
_cell_length_a 6.8573
_cell_length_b 6.8573
_cell_length_c 6.8573
_cell_angle_alpha 90.00
_cell_angle_beta 90.00
_cell_angle_gamma 90.00
loop_
_atom_site_label
_atom_site_type_symbol
_atom_site_fract_x
_atom_site_fract_y
_atom_site_fract_z
_atom_site_occupancy
Ta1 Ta 0.2500 0.2500 0.2500 1
Te1 Te 0.0000 0.0000 0.0000 1
I1 I 0.0000 0.0000 0.5000 1
# - crystal system = cubic

=====

What is the least stable structure shown above? It is version A.